[1]
12
Lattice="3.236 1.868 9.929 -3.236 1.868 9.929 0.000 -3.737 9.929" Properties=species:S:1:pos:R:3 comment="PBE-GGA RbNpCo2Cl8, relaxed" raw_formation_energy_ev_per_atom=-1.18 crystal_system=trigonal sg=R-3 pbc="T T T"
Rb 0.000 0.000 0.000
Np 0.000 0.000 14.894
Co 0.000 0.000 7.382
Co 0.000 0.000 22.405
Cl -1.093 -1.867 13.272
Cl -2.164 0.013 16.515
Cl 0.000 0.000 9.568
Cl -1.070 1.880 13.272
Cl 1.070 -1.880 16.515
Cl 0.000 0.000 20.219
Cl 2.164 -0.013 13.272
Cl 1.093 1.867 16.515

[2]
10
Lattice="4.361 -8.474 0.000 4.361 8.474 0.000 0.000 0.000 5.640" Properties=species:S:1:pos:R:3 comment="PBE-GGA Pm7PrY2, relaxed" e_form_ev_per_fu=6.56 crystal_system=orthorhombic sg=Cmmm pbc="T T T"
Pm 0.000 0.000 0.000
Pm 2.809 1.892 0.000
Pm 4.361 3.591 2.820
Pm 2.809 -1.892 0.000
Pm 5.914 1.892 0.000
Pm 4.361 -3.591 2.820
Pm 5.914 -1.892 0.000
Pr 4.361 0.000 2.820
Y 4.361 4.975 0.000
Y 4.361 -4.975 0.000

[3]
8
Lattice="-3.185 3.185 6.368 3.185 -3.185 6.368 3.185 3.185 -6.368" Properties=species:S:1:pos:R:3 comment="PBE-GGA CeThSb2, relaxed" raw_formation_energy_ev_per_atom=-0.99 crystal_system=tetragonal sg=I4_1/amd pbc="T T T"
Ce 3.185 1.593 1.592
Ce 0.000 1.593 4.776
Th 3.185 -1.593 4.776
Th 0.000 4.778 1.592
Sb 3.185 1.593 -1.583
Sb 0.000 1.593 1.602
Sb 3.185 1.593 4.767
Sb 0.000 1.593 7.951